Below is an optimized crystal structure of LiCrBi2Os, with properties calculated at the PBE level.

Cell: 4.8699 4.2418 4.8699 Å, 90.00 90.00 90.00°
Last column: nearest neighbours and their distance in Å.
Positions (direct):
Os (0.0000, 0.5000, 0.0000)  2 Li 2.12
Bi (0.5000, 0.0000, 0.0000)  2 Li 2.43
Cr (0.5000, 0.5000, 0.5000)  8 Bi 3.23, 4 Os 3.44
Li (0.0000, 0.0000, 0.0000)  2 Os 2.12
Bi (0.0000, 0.0000, 0.5000)  2 Li 2.43

Properties
As for the energy of formation: 1.43 eV/atom. The value obtained for the total energy is -4.677 eV per atom. The calculated volume comes out at 100.60 Å³/cell. Its density of states at the Fermi level is 6.54 states/eV/cell. The calculation puts the total magnetization at 0.09 Bohr magnetons per cell.

Below is an optimized crystal structure of Li2CrReBi, with properties calculated at the PBE level.

Cell: 4.6382 4.9805 4.6382 Å, 90.00 90.00 90.00°
Last column: nearest neighbours and their distance in Å.
Positions (direct):
Re (0.5000, 0.5000, 0.5000)  4 Cr 3.28, 8 Li 3.40
Li (0.5000, 0.0000, 0.0000)  2 Bi 2.32
Bi (0.0000, 0.0000, 0.0000)  4 Li 2.32, 2 Cr 2.49
Li (0.0000, 0.0000, 0.5000)  2 Bi 2.32
Cr (0.0000, 0.5000, 0.0000)  2 Bi 2.49

Properties
As for the energy of formation: 1.73 eV/atom. The value obtained for the total energy is -4.227 eV per atom. The calculated volume comes out at 107.14 Å³/cell. Its density of states at the Fermi level is 7.24 states/eV/cell. The calculation puts the total magnetization at 3.86 Bohr magnetons per cell.